# TaBeTe3

Crystalline TaBeTe3 at its relaxed geometry (GGA-PBE, the Alexandria database).

```
5
Lattice="4.864 0.000 0.000 0.000 4.864 0.000 0.000 0.000 4.864" Properties=species:S:1:pos:R:3 pbc="T T T"
Ta 0.000 0.000 0.000
Be 2.432 2.432 2.432
Te 0.000 2.432 2.432
Te 2.432 0.000 2.432
Te 2.432 2.432 0.000
```

Output
calculated total energy = -4.116 eV/atom
N(E_F) = 1.451 states/eV/atom
symmetry = Pm-3m
formation energy (no corrections) = 0.8843 eV/atom
energy relative to the lowest polymorph listed for this composition = 159 meV per atom
crystal system = cubic